Record 1
A plane-wave DFT calculation with PBE was carried out for crystalline Nd4SmY2Ho2 at its relaxed geometry.

Geometry as POSCAR:
```
Nd4SmY2Ho2
1.0
5.108 0.000 0.000
-2.554 7.677 0.016
0.000 -2.558 7.665
Nd Ho Y Sm
4 2 2 1
Cartesian
2.554 -0.006 2.534
0.000 5.126 5.147
2.554 2.551 5.134
0.000 2.569 2.546
0.000 5.100 0.012
2.554 0.019 7.669
2.554 5.116 2.552
0.000 0.004 5.129
0.000 0.000 0.000
```

The energy of formation comes out at 0.017 eV/atom. As for the space group: C2/m.

***

Record 2
A plane-wave DFT calculation with PBE was carried out for crystalline SiSbRh2 at its relaxed geometry.

Geometry as POSCAR:
```
SiSbRh2
1.0
-3.528 3.402 -4.685
-6.121 0.018 -2.913
3.926 -0.447 5.509
Rh Si Sb
2 1 1
Cartesian
-2.413 2.403 -1.645
-0.697 0.247 -0.549
-3.066 0.483 -0.252
-4.372 1.550 -3.443
```

As for the space group: Imm2. The formation energy (no corrections) is -0.461 eV per atom. The value obtained for the energy above the lowest structure with this stoichiometry is 0.136 eV per formula unit.

***

Record 3
A plane-wave DFT calculation with PBE was carried out for crystalline KNa2TlZn at its relaxed geometry.

Geometry as POSCAR:
```
KNa2TlZn
1.0
5.806 0.000 0.000
0.000 5.806 0.000
0.000 0.000 5.438
Na Tl Zn K
2 1 1 1
Cartesian
0.000 2.903 0.000
2.903 0.000 0.000
0.000 0.000 2.719
0.000 0.000 0.000
2.903 2.903 2.719
```

The energy of formation comes out at 0.033 eV/atom. As for the space group: P4/mmm. The value obtained for the energy above the lowest structure with this stoichiometry is 0.000 eV per formula unit.

***

Going through the records in order, we get electronic total energy values of -5.080; -6.523; -1.442 eV/atom.